No. 1
## BaAg2Pt (GGA-PBE)

Data for a relaxed structure of BaAg2Pt.

Unit cell a=5.9787 b=5.9787 c=5.9787 alpha=143.46 beta=130.36 gamma=63.19
Last column: nearest neighbours and their distance in Å.
Positions (direct):
1 Ag 0.4655 0.4655 0.0000  2 Pt 2.89, 4 Ag 3.21
2 Ag 0.0345 0.0345 0.0000  2 Pt 2.89, 4 Ag 3.21
3 Pt 0.2500 0.7500 0.5000  4 Ag 2.89, 4 Ba 3.13
4 Ba 0.7500 0.2500 0.5000  4 Pt 3.13, 8 Ag 3.33-3.45

Properties
DFT formation energy (kJ/mol of formula units): -60
Distance to the lowest polymorph of the same formula (eV/atom): 0.158
Crystal system: orthorhombic

No. 2
## Ba2AgPt2 (GGA-PBE)

Data for a relaxed structure of Ba2AgPt2.

Unit cell a=7.9622 b=7.9622 c=4.4822 alpha=90.00 beta=90.00 gamma=90.00
Last column: nearest neighbours and their distance in Å.
Positions (direct):
1 Pt 0.6223 0.1223 0.0000  1 Pt 2.75
2 Pt 0.1223 0.3777 0.0000  1 Pt 2.75
3 Pt 0.8777 0.6223 0.0000  1 Pt 2.75
4 Pt 0.3777 0.8777 0.0000  1 Pt 2.75
5 Ag 0.5000 0.5000 0.0000  4 Pt 3.16
6 Ag 0.0000 0.0000 0.0000  4 Pt 3.16
7 Ba 0.6765 0.8235 0.5000  6 Pt 3.19-3.30
8 Ba 0.3235 0.1765 0.5000  6 Pt 3.19-3.30
9 Ba 0.1765 0.6765 0.5000  6 Pt 3.19-3.30
10 Ba 0.8235 0.3235 0.5000  6 Pt 3.19-3.30

Properties
DFT formation energy (kJ/mol of formula units): -231
Distance to the lowest polymorph of the same formula (eV/atom): 0.122
Crystal system: tetragonal

No. 3
## Ba8AgPt4 (GGA-PBE)

Data for a relaxed structure of Ba8AgPt4.

Unit cell a=4.6880 b=11.2833 c=11.4361 alpha=88.08 beta=78.17 gamma=78.01
Last column: nearest neighbours and their distance in Å.
Positions (direct):
1 Ba 0.4601 0.6849 0.3949  3 Pt 3.14-3.16
2 Ba 0.8631 0.3141 0.9596  3 Pt 3.17-3.18
3 Ba 0.8204 0.0242 0.3350  3 Pt 3.15-3.18
4 Ba 0.8278 0.6174 0.7271  3 Pt 3.16-3.17
5 Ba 0.5488 0.2891 0.6133  3 Pt 3.15
6 Ba 0.1713 0.3669 0.2904  3 Pt 3.13-3.16
7 Ba 0.1883 0.9483 0.6752  3 Pt 3.19-3.20
8 Ba 0.1467 0.6604 0.0462  3 Pt 3.17-3.20
9 Pt 0.1837 0.1549 0.4777  6 Ba 3.15-3.19
10 Pt 0.6603 0.5092 0.1702  6 Ba 3.13-3.20
11 Pt 0.8270 0.8184 0.5276  6 Ba 3.14-3.20
12 Pt 0.3494 0.4624 0.8388  6 Ba 3.15-3.17
13 Ag 0.5982 0.8821 0.9215  5 Ba 3.63-3.70

Properties
DFT formation energy (kJ/mol of formula units): -680
Crystal system: monoclinic

No. 4
## Ba2Ag2Pt (GGA-PBE)

Data for a relaxed structure of Ba2Ag2Pt.

Unit cell a=4.6375 b=6.5003 c=11.5074 alpha=85.11 beta=78.38 gamma=69.10
Last column: nearest neighbours and their distance in Å.
Positions (direct):
1 Pt 0.4278 0.8336 0.3108  3 Ag 2.78-2.81
2 Pt 0.5722 0.1664 0.6892  3 Ag 2.78-2.81
3 Ba 0.9146 0.2895 0.8813  2 Pt 3.27, 6 Ag 3.33-3.65
4 Ba 0.0854 0.7105 0.1187  2 Pt 3.27, 6 Ag 3.33-3.65
5 Ba 0.7004 0.2335 0.3658  4 Pt 3.42-3.69, 7 Ag 3.46-3.70
6 Ba 0.2996 0.7665 0.6342  4 Pt 3.42-3.69, 7 Ag 3.46-3.70
7 Ag 0.0387 0.3361 0.5865  1 Ag 2.77, 2 Pt 2.78
8 Ag 0.9613 0.6639 0.4135  1 Ag 2.77, 2 Pt 2.78
9 Ag 0.6225 0.8717 0.8832  1 Pt 2.81, 1 Ag 3.08
10 Ag 0.3775 0.1283 0.1168  1 Pt 2.81, 1 Ag 3.08

Properties
DFT formation energy (kJ/mol of formula units): -205
Distance to the lowest polymorph of the same formula (eV/atom): 0.000
Crystal system: monoclinic

No. 5
## BaAg2Pt (GGA-PBE)

Data for a relaxed structure of BaAg2Pt.

Unit cell a=5.5220 b=5.5220 c=5.5220 alpha=130.53 beta=130.53 gamma=72.57
Last column: nearest neighbours and their distance in Å.
Positions (direct):
1 Ba 0.5000 0.5000 0.0000  8 Ag 3.21-3.27, 4 Pt 3.21
2 Pt 0.7500 0.2500 0.5000  4 Ba 3.21, 8 Ag 3.21-3.27
3 Ag 0.0000 0.0000 0.0000  4 Pt 3.21, 4 Ag 3.21, 4 Ba 3.27
4 Ag 0.2500 0.7500 0.5000  4 Ag 3.21, 4 Ba 3.21, 4 Pt 3.27

Properties
DFT formation energy (kJ/mol of formula units): -18
Distance to the lowest polymorph of the same formula (eV/atom): 0.267
Crystal system: tetragonal

No. 6
## Ba3AgPt (GGA-PBE)

Data for a relaxed structure of Ba3AgPt.

Unit cell a=6.1555 b=6.1555 c=6.1555 alpha=90.00 beta=90.00 gamma=90.00
Last column: nearest neighbours and their distance in Å.
Positions (direct):
1 Ba 0.5000 0.0000 0.0000  2 Pt 3.08
2 Ba 0.0000 0.0000 0.5000  2 Pt 3.08
3 Ba 0.0000 0.5000 0.0000  2 Pt 3.08
4 Ag 0.5000 0.5000 0.5000  12 Ba 4.35
5 Pt 0.0000 0.0000 0.0000  6 Ba 3.08

Properties
DFT formation energy (kJ/mol of formula units): -154
Distance to the lowest polymorph of the same formula (eV/atom): 0.115
Crystal system: cubic

No. 7
## BaAg2Pt (GGA-PBE)

Data for a relaxed structure of BaAg2Pt.

Unit cell a=10.4766 b=10.4766 c=10.4766 alpha=17.37 beta=17.37 gamma=17.37
Last column: nearest neighbours and their distance in Å.
Positions (direct):
1 Pt 0.7500 0.7500 0.7500  6 Ag 2.85, 6 Pt 3.16
2 Ag 0.0128 0.0128 0.0128  3 Pt 2.85, 6 Ag 3.16
3 Ag 0.4872 0.4872 0.4872  3 Pt 2.85, 6 Ag 3.16
4 Ba 0.2500 0.2500 0.2500  6 Ba 3.16, 6 Ag 3.49

Properties
DFT formation energy (kJ/mol of formula units): 164
Distance to the lowest polymorph of the same formula (eV/atom): 0.737
Crystal system: trigonal

No. 8
## Ba3AgPt (GGA-PBE)

Data for a relaxed structure of Ba3AgPt.

Unit cell a=8.5930 b=8.7262 c=14.0093 alpha=108.54 beta=90.00 gamma=119.50
Last column: nearest neighbours and their distance in Å.
Positions (direct):
1 Ba 0.8174 0.1253 0.5562  2 Pt 3.21-3.22, 1 Ag 3.47
2 Ba 0.1060 0.3427 0.8745  2 Pt 3.18-3.21
3 Ba 0.7126 0.2907 0.3043  2 Pt 3.05-3.17, 1 Ag 3.39
4 Ba 0.3079 0.1253 0.0562  2 Pt 3.21-3.22, 1 Ag 3.47
5 Ba 0.2874 0.7093 0.6957  2 Pt 3.05-3.17, 1 Ag 3.39
6 Ba 0.7633 0.6573 0.6255  2 Pt 3.18-3.21
7 Ba 0.8940 0.6573 0.1255  2 Pt 3.18-3.21
8 Ba 0.5781 0.2907 0.8043  2 Pt 3.05-3.17, 1 Ag 3.39
9 Ba 0.2367 0.3427 0.3745  2 Pt 3.18-3.21
10 Ba 0.4219 0.7093 0.1957  2 Pt 3.05-3.17, 1 Ag 3.39
11 Ba 0.1826 0.8747 0.4438  2 Pt 3.21-3.22, 1 Ag 3.47
12 Ba 0.6921 0.8747 0.9438  2 Pt 3.21-3.22, 1 Ag 3.47
13 Ag 0.0092 0.3042 0.1307  7 Ba 3.39-3.77
14 Ag 0.9908 0.6958 0.8693  7 Ba 3.39-3.77
15 Ag 0.7050 0.6958 0.3693  7 Ba 3.39-3.77
16 Ag 0.2950 0.3042 0.6307  7 Ba 3.39-3.77
17 Pt 0.5000 0.5000 0.0000  6 Ba 3.05-3.22
18 Pt 0.2870 0.0000 0.2500  6 Ba 3.17-3.21
19 Pt 0.0000 0.5000 0.5000  6 Ba 3.05-3.22
20 Pt 0.7130 0.0000 0.7500  6 Ba 3.17-3.21

Properties
DFT formation energy (kJ/mol of formula units): -209
Distance to the lowest polymorph of the same formula (eV/atom): 0.000
Crystal system: monoclinic

No. 9
## BaAg2Pt (GGA-PBE)

Data for a relaxed structure of BaAg2Pt.

Unit cell a=5.1341 b=5.1341 c=5.1341 alpha=60.00 beta=60.00 gamma=60.00
Last column: nearest neighbours and their distance in Å.
Positions (direct):
1 Pt 0.5000 0.5000 0.5000  8 Ag 3.14
2 Ba 0.0000 0.0000 0.0000  8 Ag 3.14
3 Ag 0.7500 0.7500 0.7500  4 Pt 3.14, 4 Ba 3.14
4 Ag 0.2500 0.2500 0.2500  4 Ba 3.14, 4 Pt 3.14

Properties
DFT formation energy (kJ/mol of formula units): -7
Distance to the lowest polymorph of the same formula (eV/atom): 0.294
Crystal system: cubic

No. 10
## Ba3Ag3Pt2 (GGA-PBE)

Data for a relaxed structure of Ba3Ag3Pt2.

Unit cell a=4.6828 b=6.4227 c=17.3600 alpha=90.00 beta=90.00 gamma=111.38
Last column: nearest neighbours and their distance in Å.
Positions (direct):
1 Pt 0.1636 0.3272 0.1178  3 Ag 2.76-2.82
2 Pt 0.8364 0.6728 0.6178  3 Ag 2.76-2.82
3 Pt 0.8364 0.6728 0.8822  3 Ag 2.76-2.82
4 Pt 0.1636 0.3272 0.3822  3 Ag 2.76-2.82
5 Ag 0.4187 0.8374 0.5562  1 Ag 2.76, 2 Pt 2.76
6 Ag 0.6990 0.3980 0.7500  2 Pt 2.82
7 Ag 0.5813 0.1626 0.0562  1 Ag 2.76, 2 Pt 2.76
8 Ag 0.4187 0.8374 0.9438  1 Ag 2.76, 2 Pt 2.76
9 Ag 0.3010 0.6020 0.2500  2 Pt 2.82
10 Ag 0.5813 0.1626 0.4438  1 Ag 2.76, 2 Pt 2.76
11 Ba 0.8651 0.7303 0.4134  4 Pt 3.40-3.61, 7 Ag 3.44-3.76
12 Ba 0.5934 0.1867 0.2500  5 Ag 3.37-3.50, 4 Pt 3.38
13 Ba 0.4066 0.8133 0.7500  5 Ag 3.37-3.50, 4 Pt 3.38
14 Ba 0.1349 0.2697 0.9134  4 Pt 3.40-3.61, 7 Ag 3.44-3.76
15 Ba 0.1349 0.2697 0.5866  4 Pt 3.40-3.61, 7 Ag 3.44-3.76
16 Ba 0.8651 0.7303 0.0866  4 Pt 3.40-3.61, 7 Ag 3.44-3.76

Properties
DFT formation energy (kJ/mol of formula units): -347
Crystal system: orthorhombic

Repeat the second record exactly.
## Ba2AgPt2 (GGA-PBE)

Data for a relaxed structure of Ba2AgPt2.

Unit cell a=7.9622 b=7.9622 c=4.4822 alpha=90.00 beta=90.00 gamma=90.00
Last column: nearest neighbours and their distance in Å.
Positions (direct):
1 Pt 0.6223 0.1223 0.0000  1 Pt 2.75
2 Pt 0.1223 0.3777 0.0000  1 Pt 2.75
3 Pt 0.8777 0.6223 0.0000  1 Pt 2.75
4 Pt 0.3777 0.8777 0.0000  1 Pt 2.75
5 Ag 0.5000 0.5000 0.0000  4 Pt 3.16
6 Ag 0.0000 0.0000 0.0000  4 Pt 3.16
7 Ba 0.6765 0.8235 0.5000  6 Pt 3.19-3.30
8 Ba 0.3235 0.1765 0.5000  6 Pt 3.19-3.30
9 Ba 0.1765 0.6765 0.5000  6 Pt 3.19-3.30
10 Ba 0.8235 0.3235 0.5000  6 Pt 3.19-3.30

Properties
DFT formation energy (kJ/mol of formula units): -231
Distance to the lowest polymorph of the same formula (eV/atom): 0.122
Crystal system: tetragonal

- The lowest DFT formation energy belongs to which entry?
  Ba8AgPt4